Record 1
# Y2NiCl

An optimized crystal structure of Y2NiCl (GGA-PBE, Alexandria).

Calculated values
Raw total energy ... -5.91 eV/atom
ΔE to the lowest computed polymorph ... 144.0 meV per atom

a = 3.4634 Å, b = 3.6012 Å, c = 15.0272 Å
α = 90.00°, β = 90.00°, γ = 90.00°
Space group Imm2 (No. 44)
Inequivalent atoms, fractional coordinates:
1 Y 0.0000 0.0000 0.0000 (multiplicity 2)
2 Y 0.0000 0.5000 0.2868 (multiplicity 2)
3 Ni 0.0000 0.0000 0.4204 (multiplicity 2)
4 Cl 0.0000 0.5000 0.6707 (multiplicity 2)

Record 2
# ZrTa2C

An optimized crystal structure of ZrTa2C (GGA-PBE, Alexandria).

Calculated values
Raw total energy ... -10.15 eV/atom
Energy of formation from the pure elements ... 21 kJ per mole of atoms

a = 3.0029 Å, b = 4.9651 Å, c = 9.0121 Å
α = 90.00°, β = 90.00°, γ = 90.00°
Space group Imm2 (No. 44)
Inequivalent atoms, fractional coordinates:
1 Zr 0.0000 0.0000 0.0000 (multiplicity 2)
2 Ta 0.0000 0.0000 0.3481 (multiplicity 2)
3 Ta 0.0000 0.5000 0.1732 (multiplicity 2)
4 C 0.0000 0.5000 0.6842 (multiplicity 2)

Record 3
# Ce3DyTm2P6

An optimized crystal structure of Ce3DyTm2P6 (GGA-PBE, Alexandria).

Calculated values
Raw total energy ... -6.87 eV/atom
Energy of formation from the pure elements ... -150 kJ per mole of atoms

a = 6.9813 Å, b = 12.0941 Å, c = 6.9601 Å
α = 90.00°, β = 109.54°, γ = 90.00°
Space group C2/m (No. 12)
Inequivalent atoms, fractional coordinates:
1 Ce 0.0000 0.0000 0.0000 (multiplicity 2)
2 Ce 0.0000 0.3338 0.0000 (multiplicity 4)
3 Dy 0.0000 0.5000 0.5000 (multiplicity 2)
4 Tm 0.0000 0.1668 0.5000 (multiplicity 4)
5 P 0.2458 0.0000 0.7439 (multiplicity 4)
6 P 0.2492 0.3323 0.7443 (multiplicity 8)

Record 4
# Pm6Si3O

An optimized crystal structure of Pm6Si3O (GGA-PBE, Alexandria).

Calculated values
Raw total energy ... -5.92 eV/atom

a = 6.4622 Å, b = 7.8219 Å, c = 11.8129 Å
α = 90.00°, β = 121.96°, γ = 90.00°
Space group P2_1/c (No. 14)
Inequivalent atoms, fractional coordinates:
1 Pm 0.0973 0.0471 0.2358 (multiplicity 4)
2 Pm 0.2005 0.7019 0.0613 (multiplicity 4)
3 Pm 0.3864 0.1652 0.0583 (multiplicity 4)
4 Si 0.3155 0.1112 0.7499 (multiplicity 4)
5 Si 0.5000 0.0000 0.5000 (multiplicity 2)
6 O 0.0000 0.0000 0.0000 (multiplicity 2)

Record 5
# Li2IrAu

An optimized crystal structure of Li2IrAu (GGA-PBE, Alexandria).

Calculated values
Raw total energy ... -4.21 eV/atom
Energy of formation from the pure elements ... -21 kJ per mole of atoms

a = 5.5637 Å, b = 7.8954 Å, c = 2.6403 Å
α = 90.00°, β = 90.00°, γ = 90.00°
Space group Cmmm (No. 65)
Inequivalent atoms, fractional coordinates:
1 Li 0.2500 0.2500 0.0000 (multiplicity 4)
2 Ir 0.0000 0.0000 0.5000 (multiplicity 2)
3 Au 0.0000 0.5000 0.5000 (multiplicity 2)

Record 6
# KY2TeBr

An optimized crystal structure of KY2TeBr (GGA-PBE, Alexandria).

Calculated values
Raw total energy ... -3.28 eV/atom

a = 5.8977 Å, b = 5.8977 Å, c = 5.3448 Å
α = 90.00°, β = 90.00°, γ = 90.00°
Space group P4/mmm (No. 123)
Inequivalent atoms, fractional coordinates:
1 K 0.0000 0.0000 0.0000 (multiplicity 1)
2 Y 0.0000 0.5000 0.0000 (multiplicity 2)
3 Te 0.5000 0.5000 0.5000 (multiplicity 1)
4 Br 0.0000 0.0000 0.5000 (multiplicity 1)

Record 7
# IrPt2

An optimized crystal structure of IrPt2 (GGA-PBE, Alexandria).

Calculated values
Raw total energy ... -6.85 eV/atom
Energy of formation from the pure elements ... 12 kJ per mole of atoms
ΔE to the lowest computed polymorph ... 88.6 meV per atom

a = 10.5310 Å, b = 2.7603 Å, c = 6.6448 Å
α = 90.00°, β = 107.04°, γ = 90.00°
Space group C2/m (No. 12)
Inequivalent atoms, fractional coordinates:
1 Ir 0.0259 0.0000 0.3080 (multiplicity 4)
2 Pt 0.1358 0.5000 0.0295 (multiplicity 4)
3 Pt 0.1910 0.5000 0.6355 (multiplicity 4)

Record 8
# CaHf2TlSn

An optimized crystal structure of CaHf2TlSn (GGA-PBE, Alexandria).

Calculated values
Raw total energy ... -4.25 eV/atom
Energy of formation from the pure elements ... 136 kJ per mole of atoms

a = 5.2155 Å, b = 5.2155 Å, c = 5.5331 Å
α = 90.00°, β = 90.00°, γ = 90.00°
Space group P4/mmm (No. 123)
Inequivalent atoms, fractional coordinates:
1 Ca 0.0000 0.0000 0.0000 (multiplicity 1)
2 Hf 0.0000 0.5000 0.0000 (multiplicity 2)
3 Tl 0.5000 0.5000 0.5000 (multiplicity 1)
4 Sn 0.0000 0.0000 0.5000 (multiplicity 1)